Density functional theory data (GGA-PBEsol) for a relaxed RhAu crystal.

Cell lengths 2.7791, 2.7791, 9.0908 Å; angles 90.00, 90.00, 120.00 degrees
Positions (direct):
Au 0.0000 0.0000 0.0000
Au 0.0000 0.0000 0.5000
Rh 0.6667 0.3333 0.7500
Rh 0.3333 0.6667 0.2500

Results
Mass density, g/cm3: 16.38
Magnetic moment, Bohr magnetons per cell: 0.0
Space-group type: P6_3/mmc, No. 194
Formation energy from the elements, meV/atom: 233.6